Entry 1:
Nd6Dy3HoEr2 | PBE | relaxed

The structure in CIF format:
```
data_Nd6Dy3HoEr2
_chemical_formula_sum 'Nd6 Dy3 Ho1 Er2'
_space_group_name_H-M_alt 'P 1'
_space_group_IT_number 1
_cell_length_a 6.2610
_cell_length_b 6.2610
_cell_length_c 11.8243
_cell_angle_alpha 95.05
_cell_angle_beta 95.05
_cell_angle_gamma 119.99
loop_
_space_group_symop_operation_xyz
'x,y,z'
loop_
_atom_site_label
_atom_site_fract_x
_atom_site_fract_y
_atom_site_fract_z
Nd1 0.0830 0.4165 0.7509
Nd2 0.2501 0.2501 0.2492
Nd3 0.4165 0.0830 0.7509
Nd4 0.5835 0.9170 0.2491
Nd5 0.7499 0.7499 0.7508
Nd6 0.9170 0.5835 0.2491
Dy1 0.0000 0.0000 0.5000
Dy2 0.3333 0.6667 0.5000
Dy3 0.6667 0.3333 0.5000
Ho1 0.5000 0.5000 0.0000
Er1 0.1666 0.8334 0.0000
Er2 0.8334 0.1666 0.0000
```

Results
Size of the total moment (μB per formula unit): 0.00
DFT total energy (eV/atom): -4.665
DOS at the Fermi energy (states/eV per cell): 13.17

Entry 2:
Np2Co3TcP4 | PBE | relaxed

The structure in CIF format:
```
data_Np2Co3TcP4
_chemical_formula_sum 'Np2 Co3 Tc1 P4'
_space_group_name_H-M_alt 'P 1'
_space_group_IT_number 1
_cell_length_a 3.9967
_cell_length_b 3.9967
_cell_length_c 9.0339
_cell_angle_alpha 90.00
_cell_angle_beta 90.00
_cell_angle_gamma 90.00
loop_
_space_group_symop_operation_xyz
'x,y,z'
loop_
_atom_site_label
_atom_site_fract_x
_atom_site_fract_y
_atom_site_fract_z
Np1 0.0000 0.5000 0.2390
Np2 0.5000 0.0000 0.7610
Co1 0.0000 0.5000 0.8898
Co2 0.5000 0.0000 0.1102
Co3 0.5000 0.5000 0.5000
Tc1 0.0000 0.0000 0.5000
P1 0.0000 0.0000 0.0000
P2 0.0000 0.5000 0.6403
P3 0.5000 0.0000 0.3597
P4 0.5000 0.5000 0.0000
```

Results
Size of the total moment (μB per formula unit): 6.48
DFT total energy (eV/atom): -8.648
DOS at the Fermi energy (states/eV per cell): 22.01

Entry 3:
BeCu2Ag | PBE | relaxed

The structure in CIF format:
```
data_BeCu2Ag
_chemical_formula_sum 'Be2 Cu4 Ag2'
_space_group_name_H-M_alt 'P 1'
_space_group_IT_number 1
_cell_length_a 5.1548
_cell_length_b 7.3142
_cell_length_c 2.7408
_cell_angle_alpha 90.00
_cell_angle_beta 90.00
_cell_angle_gamma 90.00
loop_
_space_group_symop_operation_xyz
'x,y,z'
loop_
_atom_site_label
_atom_site_fract_x
_atom_site_fract_y
_atom_site_fract_z
Be1 0.0000 0.0000 0.0000
Be2 0.5000 0.5000 0.0000
Cu1 0.2500 0.2500 0.5000
Cu2 0.2500 0.7500 0.5000
Cu3 0.7500 0.2500 0.5000
Cu4 0.7500 0.7500 0.5000
Ag1 0.0000 0.5000 0.0000
Ag2 0.5000 0.0000 0.0000
```

Results
Size of the total moment (μB per formula unit): 0.00
DFT total energy (eV/atom): -3.510
DOS at the Fermi energy (states/eV per cell): 1.80

Entry 4:
Ba2ZnSbN | PBE | relaxed

The structure in CIF format:
```
data_Ba2ZnSbN
_chemical_formula_sum 'Ba2 Zn1 Sb1 N1'
_space_group_name_H-M_alt 'P 1'
_space_group_IT_number 1
_cell_length_a 5.9692
_cell_length_b 5.9692
_cell_length_c 3.9465
_cell_angle_alpha 90.00
_cell_angle_beta 90.00
_cell_angle_gamma 90.00
loop_
_space_group_symop_operation_xyz
'x,y,z'
loop_
_atom_site_label
_atom_site_fract_x
_atom_site_fract_y
_atom_site_fract_z
Ba1 0.0000 0.5000 0.0000
Ba2 0.5000 0.0000 0.0000
Zn1 0.0000 0.0000 0.5000
Sb1 0.5000 0.5000 0.5000
N1 0.0000 0.0000 0.0000
```

Results
Size of the total moment (μB per formula unit): 0.00
E_form (uncorrected) (eV per atom): -0.537
DOS at the Fermi energy (states/eV per cell): 1.50
Distance to the lowest polymorph of the same formula (eV per formula unit): 0.80

Entry 5:
Sm4MgAgHg2 | PBE | relaxed

The structure in CIF format:
```
data_Sm4MgAgHg2
_chemical_formula_sum 'Sm4 Mg1 Ag1 Hg2'
_space_group_name_H-M_alt 'P 1'
_space_group_IT_number 1
_cell_length_a 9.2816
_cell_length_b 9.2816
_cell_length_c 9.2816
_cell_angle_alpha 33.43
_cell_angle_beta 33.43
_cell_angle_gamma 33.43
loop_
_space_group_symop_operation_xyz
'x,y,z'
loop_
_atom_site_label
_atom_site_fract_x
_atom_site_fract_y
_atom_site_fract_z
Sm1 0.1196 0.1196 0.1196
Sm2 0.3712 0.3712 0.3712
Sm3 0.6288 0.6288 0.6288
Sm4 0.8804 0.8804 0.8804
Mg1 0.5000 0.5000 0.5000
Ag1 0.0000 0.0000 0.0000
Hg1 0.2412 0.2412 0.2412
Hg2 0.7588 0.7588 0.7588
```

Results
Size of the total moment (μB per formula unit): 0.02
DFT total energy (eV/atom): -3.328
DOS at the Fermi energy (states/eV per cell): 7.77

Entry 6:
Nd2ThAs3 | PBE | relaxed

The structure in CIF format:
```
data_Nd2ThAs3
_chemical_formula_sum 'Nd4 Th2 As6'
_space_group_name_H-M_alt 'P 1'
_space_group_IT_number 1
_cell_length_a 8.4882
_cell_length_b 8.4882
_cell_length_c 10.3752
_cell_angle_alpha 108.16
_cell_angle_beta 108.16
_cell_angle_gamma 28.85
loop_
_space_group_symop_operation_xyz
'x,y,z'
loop_
_atom_site_label
_atom_site_fract_x
_atom_site_fract_y
_atom_site_fract_z
Nd1 0.1685 0.1685 0.3352
Nd2 0.3308 0.3308 0.1642
Nd3 0.6692 0.6692 0.8358
Nd4 0.8315 0.8315 0.6648
Th1 0.0000 0.0000 0.5000
Th2 0.5000 0.5000 0.0000
As1 0.0271 0.0271 0.8058
As2 0.3080 0.3080 0.8618
As3 0.3641 0.3641 0.4726
As4 0.6359 0.6359 0.5274
As5 0.6920 0.6920 0.1382
As6 0.9729 0.9729 0.1942
```

Results
Size of the total moment (μB per formula unit): 0.00
DOS at the Fermi energy (states/eV per cell): 4.82
Distance to the lowest polymorph of the same formula (eV per formula unit): 1.21

Entry 7:
Ca2YBr | PBE | relaxed

The structure in CIF format:
```
data_Ca2YBr
_chemical_formula_sum 'Ca2 Y1 Br1'
_space_group_name_H-M_alt 'P 1'
_space_group_IT_number 1
_cell_length_a 3.6564
_cell_length_b 3.6564
_cell_length_c 9.8440
_cell_angle_alpha 90.00
_cell_angle_beta 90.00
_cell_angle_gamma 90.00
loop_
_space_group_symop_operation_xyz
'x,y,z'
loop_
_atom_site_label
_atom_site_fract_x
_atom_site_fract_y
_atom_site_fract_z
Ca1 0.0000 0.0000 0.2274
Ca2 0.0000 0.0000 0.7726
Y1 0.5000 0.5000 0.5000
Br1 0.5000 0.5000 0.0000
```

Results
Size of the total moment (μB per formula unit): 0.50
E_form (uncorrected) (eV per atom): -0.571
DOS at the Fermi energy (states/eV per cell): 4.18
Distance to the lowest polymorph of the same formula (eV per formula unit): 0.28

Entry 8:
La2MnNbAs | PBE | relaxed

The structure in CIF format:
```
data_La2MnNbAs
_chemical_formula_sum 'La2 Mn1 Nb1 As1'
_space_group_name_H-M_alt 'P 1'
_space_group_IT_number 1
_cell_length_a 5.2530
_cell_length_b 5.2530
_cell_length_c 4.5899
_cell_angle_alpha 90.00
_cell_angle_beta 90.00
_cell_angle_gamma 90.00
loop_
_space_group_symop_operation_xyz
'x,y,z'
loop_
_atom_site_label
_atom_site_fract_x
_atom_site_fract_y
_atom_site_fract_z
La1 0.0000 0.5000 0.0000
La2 0.5000 0.0000 0.0000
Mn1 0.0000 0.0000 0.0000
Nb1 0.0000 0.0000 0.5000
As1 0.5000 0.5000 0.5000
```

Results
Size of the total moment (μB per formula unit): 0.93
DFT total energy (eV/atom): -6.661
DOS at the Fermi energy (states/eV per cell): 5.03

Entry 9:
Hf2Fe2Au | PBE | relaxed

The structure in CIF format:
```
data_Hf2Fe2Au
_chemical_formula_sum 'Hf4 Fe4 Au2'
_space_group_name_H-M_alt 'P 1'
_space_group_IT_number 1
_cell_length_a 6.9605
_cell_length_b 6.9605
_cell_length_c 3.3968
_cell_angle_alpha 90.00
_cell_angle_beta 90.00
_cell_angle_gamma 90.00
loop_
_space_group_symop_operation_xyz
'x,y,z'
loop_
_atom_site_label
_atom_site_fract_x
_atom_site_fract_y
_atom_site_fract_z
Hf1 0.1799 0.3201 0.0000
Hf2 0.3201 0.8201 0.0000
Hf3 0.6799 0.1799 0.0000
Hf4 0.8201 0.6799 0.0000
Fe1 0.1150 0.6150 0.5000
Fe2 0.3850 0.1150 0.5000
Fe3 0.6150 0.8850 0.5000
Fe4 0.8850 0.3850 0.5000
Au1 0.0000 0.0000 0.5000
Au2 0.5000 0.5000 0.5000
```

Results
Size of the total moment (μB per formula unit): 2.65
DFT total energy (eV/atom): -8.294
DOS at the Fermi energy (states/eV per cell): 12.12

Entry 10:
Y2NiN | PBE | relaxed

The structure in CIF format:
```
data_Y2NiN
_chemical_formula_sum 'Y6 Ni3 N3'
_space_group_name_H-M_alt 'P 1'
_space_group_IT_number 1
_cell_length_a 3.5429
_cell_length_b 3.5429
_cell_length_c 19.7607
_cell_angle_alpha 90.00
_cell_angle_beta 90.00
_cell_angle_gamma 120.00
loop_
_space_group_symop_operation_xyz
'x,y,z'
loop_
_atom_site_label
_atom_site_fract_x
_atom_site_fract_y
_atom_site_fract_z
Y1 0.0000 0.0000 0.2363
Y2 0.0000 0.0000 0.7637
Y3 0.3333 0.6667 0.4304
Y4 0.3333 0.6667 0.9030
Y5 0.6667 0.3333 0.0970
Y6 0.6667 0.3333 0.5696
Ni1 0.0000 0.0000 0.0000
Ni2 0.3333 0.6667 0.6667
Ni3 0.6667 0.3333 0.3333
N1 0.0000 0.0000 0.5000
N2 0.3333 0.6667 0.1667
N3 0.6667 0.3333 0.8333
```

Results
Size of the total moment (μB per formula unit): 0.00
E_form (uncorrected) (eV per atom): -0.796
DOS at the Fermi energy (states/eV per cell): 8.45
Distance to the lowest polymorph of the same formula (eV per formula unit): 0.00